This record from Alexandria describes an optimized crystal structure of Sm19Dy4Y6. The functional is PBE.

Unit cell a=10.9092 b=10.9092 c=10.9092 alpha=109.47 beta=109.47 gamma=109.47
Atoms (fractional coordinates):
Sm1 0.7428 0.0000 0.7428
Sm2 0.2572 0.0000 0.2572
Sm3 0.2572 0.2572 0.0000
Sm4 0.7428 0.7428 0.0000
Sm5 0.0000 0.7428 0.7428
Sm6 0.0000 0.2572 0.2572
Sm7 0.0000 0.0000 0.0000
Sm8 0.1960 0.2188 0.5393
Sm9 0.8040 0.3433 0.0228
Sm10 0.6795 0.6567 0.4607
Sm11 0.0228 0.8040 0.3433
Sm12 0.3205 0.7812 0.9772
Sm13 0.5393 0.1960 0.2188
Sm14 0.9772 0.3205 0.7812
Sm15 0.4607 0.6795 0.6567
Sm16 0.7812 0.9772 0.3205
Sm17 0.3433 0.0228 0.8040
Sm18 0.2188 0.5393 0.1960
Sm19 0.6567 0.4607 0.6795
Dy1 0.0000 0.0000 0.6385
Dy2 0.0000 0.6385 0.0000
Dy3 0.3615 0.3615 0.3615
Dy4 0.6385 0.0000 0.0000
Y1 0.3735 0.5000 0.8735
Y2 0.6265 0.5000 0.1265
Y3 0.1265 0.6265 0.5000
Y4 0.8735 0.3735 0.5000
Y5 0.5000 0.8735 0.3735
Y6 0.5000 0.1265 0.6265

For the formation energy, the calculation gives 0.372 eV/atom.

***

This record from Alexandria describes an optimized crystal structure of Sm12Dy7Y. The functional is PBE.

Unit cell a=6.1790 b=11.4959 c=11.4959 alpha=116.86 beta=100.32 gamma=100.32
Atoms (fractional coordinates):
Sm1 0.0874 0.5866 0.1735
Sm2 0.0861 0.1735 0.5870
Sm3 0.5893 0.6467 0.0008
Sm4 0.4114 0.0008 0.3541
Sm5 0.4991 0.4130 0.5866
Sm6 0.0573 0.6459 0.6467
Sm7 0.9427 0.3541 0.3533
Sm8 0.5009 0.5870 0.4134
Sm9 0.5886 0.9992 0.6459
Sm10 0.4107 0.3533 0.9992
Sm11 0.9139 0.8265 0.4130
Sm12 0.9126 0.4134 0.8265
Dy1 0.1277 0.7547 0.0006
Dy2 0.8730 0.0006 0.2459
Dy3 0.6271 0.7541 0.7547
Dy4 0.5000 0.0000 0.0000
Dy5 0.3729 0.2459 0.2453
Dy6 0.1270 0.9994 0.7541
Dy7 0.8723 0.2453 0.9994
Y1 0.0000 0.0000 0.0000

For the formation energy, the calculation gives 0.256 eV/atom. The value obtained for the excess energy over the best structure of this formula in the dataset is 0 meV/atom.

***

This record from Alexandria describes an optimized crystal structure of Sm7DyY3. The functional is PBE.

Unit cell a=5.6303 b=10.0227 c=9.0615 alpha=106.29 beta=128.43 gamma=89.99
Atoms (fractional coordinates):
Sm1 0.9143 0.8294 0.9142
Sm2 0.8527 0.7064 0.3528
Sm3 0.6807 0.3593 0.1807
Sm4 0.3193 0.6407 0.8193
Sm5 0.5000 0.0000 0.5000
Sm6 0.1473 0.2936 0.6472
Sm7 0.0857 0.1706 0.0858
Dy1 0.5000 0.5000 0.5000
Y1 0.2787 0.0004 0.7788
Y2 0.0000 0.5000 0.0000
Y3 0.7213 0.9996 0.2212

For the formation energy, the calculation gives 0.129 eV/atom. The value obtained for the excess energy over the best structure of this formula in the dataset is 0 meV/atom.

***

This record from Alexandria describes an optimized crystal structure of Sm3Dy3Y4. The functional is PBE.

Unit cell a=3.6923 b=9.4584 c=9.4584 alpha=90.16 beta=90.00 gamma=90.00
Atoms (fractional coordinates):
Sm1 0.5000 0.8268 0.1732
Sm2 0.5000 0.3258 0.3267
Sm3 0.5000 0.6733 0.6742
Dy1 0.0000 0.4968 0.9987
Dy2 0.0000 0.0013 0.5032
Dy3 0.5000 0.1738 0.8262
Y1 0.0000 0.6255 0.3745
Y2 0.0000 0.3738 0.6262
Y3 0.0000 0.8764 0.8735
Y4 0.0000 0.1265 0.1236

For the formation energy, the calculation gives 0.108 eV/atom.

***

This record from Alexandria describes an optimized crystal structure of Sm5Dy4Y2. The functional is PBE.

Unit cell a=6.7087 b=8.9951 c=10.2492 alpha=39.81 beta=70.90 gamma=68.11
Atoms (fractional coordinates):
Sm1 0.1765 0.2727 0.9042
Sm2 0.8235 0.7273 0.0958
Sm3 0.0000 0.5000 0.5000
Sm4 0.6466 0.2727 0.9042
Sm5 0.3534 0.7273 0.0958
Dy1 0.4096 0.7736 0.4072
Dy2 0.5904 0.2264 0.5928
Dy3 0.7552 0.6698 0.8197
Dy4 0.2448 0.3302 0.1803
Y1 0.2022 0.9040 0.6917
Y2 0.7978 0.0960 0.3083

For the formation energy, the calculation gives 0.166 eV/atom. The value obtained for the excess energy over the best structure of this formula in the dataset is 0 meV/atom.

***

This record from Alexandria describes an optimized crystal structure of Sm4DyY6. The functional is PBE.

Unit cell a=5.7648 b=5.6433 c=25.9050 alpha=90.00 beta=90.00 gamma=120.71
Atoms (fractional coordinates):
Sm1 0.8428 0.6856 0.5438
Sm2 0.4710 0.9421 0.1217
Sm3 0.1572 0.3144 0.4562
Sm4 0.5290 0.0579 0.8783
Sm5 0.8428 0.6856 0.9562
Sm6 0.1572 0.3144 0.0438
Sm7 0.5290 0.0579 0.6217
Sm8 0.4710 0.9421 0.3783
Dy1 0.8175 0.6351 0.2500
Dy2 0.1825 0.3649 0.7500
Y1 0.5000 0.0000 0.0000
Y2 0.5000 0.0000 0.5000
Y3 0.1459 0.2917 0.3177
Y4 0.8541 0.7083 0.6823
Y5 0.8541 0.7083 0.8177
Y6 0.1459 0.2917 0.1823
Y7 0.8108 0.6216 0.3946
Y8 0.1892 0.3784 0.6054
Y9 0.1892 0.3784 0.8946
Y10 0.8108 0.6216 0.1054
Y11 0.4836 0.9672 0.2500
Y12 0.5164 0.0328 0.7500

For the formation energy, the calculation gives 0.118 eV/atom. The value obtained for the excess energy over the best structure of this formula in the dataset is 0 meV/atom.

***

This record from Alexandria describes an optimized crystal structure of Sm7Dy2Y. The functional is PBE.

Unit cell a=5.5448 b=9.4491 c=9.4491 alpha=124.80 beta=90.00 gamma=90.00
Atoms (fractional coordinates):
Sm1 0.0000 0.7900 0.2100
Sm2 0.0000 0.2100 0.7900
Sm3 0.5000 0.0665 0.2902
Sm4 0.5000 0.9335 0.7098
Sm5 0.5000 0.2902 0.0665
Sm6 0.5000 0.7098 0.9335
Sm7 0.5000 0.5000 0.5000
Dy1 0.5000 0.7050 0.2950
Dy2 0.5000 0.2950 0.7050
Y1 0.0000 0.0000 0.0000

For the formation energy, the calculation gives 0.657 eV/atom. The value obtained for the excess energy over the best structure of this formula in the dataset is 641 meV/atom.

***

This record from Alexandria describes an optimized crystal structure of SmDy4Y15. The functional is PBE.

Unit cell a=5.0462 b=5.0462 c=25.2271 alpha=90.00 beta=90.00 gamma=90.00
Atoms (fractional coordinates):
Sm1 0.0000 0.0000 0.0000
Dy1 0.0000 0.0000 0.2005
Dy2 0.0000 0.0000 0.4002
Dy3 0.0000 0.0000 0.5998
Dy4 0.0000 0.0000 0.7995
Y1 0.5000 0.5000 0.0000
Y2 0.5000 0.5000 0.2007
Y3 0.5000 0.5000 0.4001
Y4 0.5000 0.5000 0.5999
Y5 0.5000 0.5000 0.7993
Y6 0.5000 0.0000 0.1008
Y7 0.5000 0.0000 0.3004
Y8 0.5000 0.0000 0.5000
Y9 0.5000 0.0000 0.6996
Y10 0.5000 0.0000 0.8992
Y11 0.0000 0.5000 0.1008
Y12 0.0000 0.5000 0.3004
Y13 0.0000 0.5000 0.5000
Y14 0.0000 0.5000 0.6996
Y15 0.0000 0.5000 0.8992

For the formation energy, the calculation gives 0.023 eV/atom.

***

This record from Alexandria describes an optimized crystal structure of SmDy4Y4. The functional is PBE.

Unit cell a=5.0341 b=7.9735 c=7.9735 alpha=84.28 beta=71.60 gamma=71.60
Atoms (fractional coordinates):
Sm1 0.0000 0.0000 0.0000
Dy1 0.6652 0.3347 0.3349
Dy2 0.3348 0.6653 0.6651
Dy3 0.0001 0.6651 0.3347
Dy4 0.9999 0.3349 0.6653
Y1 0.6670 0.6660 0.0000
Y2 0.3330 0.3340 0.0000
Y3 0.6670 0.0000 0.6660
Y4 0.3330 0.0000 0.3340

For the formation energy, the calculation gives 0.021 eV/atom.

***

This record from Alexandria describes an optimized crystal structure of Sm5Dy3Y2. The functional is PBE.

Unit cell a=10.9587 b=9.9384 c=9.9384 alpha=56.45 beta=56.54 gamma=56.54
Atoms (fractional coordinates):
Sm1 0.2500 0.5000 0.5000
Sm2 0.7500 0.5000 0.5000
Sm3 0.4995 0.7505 0.7505
Sm4 0.0005 0.2495 0.2495
Sm5 0.5005 0.2495 0.2495
Sm6 0.9995 0.7505 0.7505
Sm7 0.1245 0.4717 0.2793
Sm8 0.8755 0.5283 0.7207
Sm9 0.6245 0.2793 0.4717
Sm10 0.3755 0.7207 0.5283
Dy1 0.2500 0.0000 0.0000
Dy2 0.7500 0.0000 0.0000
Dy3 0.3757 0.3722 0.8764
Dy4 0.6243 0.6278 0.1236
Dy5 0.8757 0.8764 0.3722
Dy6 0.1243 0.1236 0.6278
Y1 0.1244 0.7817 0.9694
Y2 0.8756 0.2183 0.0306
Y3 0.6244 0.9694 0.7817
Y4 0.3756 0.0306 0.2183

For the formation energy, the calculation gives 0.394 eV/atom. The value obtained for the excess energy over the best structure of this formula in the dataset is 202 meV/atom.

***

This record from Alexandria describes an optimized crystal structure of Sm2Dy5Y12. The functional is PBE.

Unit cell a=9.3432 b=12.3588 c=8.6142 alpha=132.68 beta=90.00 gamma=112.21
Atoms (fractional coordinates):
Sm1 0.6754 0.0000 0.0000
Sm2 0.3246 0.0000 0.0000
Dy1 0.2978 0.5956 0.6129
Dy2 0.2304 0.4608 0.8872
Dy3 0.0000 0.0000 0.5000
Dy4 0.7696 0.5392 0.1128
Dy5 0.7022 0.4044 0.3871
Y1 0.0810 0.1620 0.2870
Y2 0.0277 0.6970 0.9362
Y3 0.6693 0.6970 0.9362
Y4 0.1800 0.7426 0.4035
Y5 0.5626 0.7426 0.4035
Y6 0.5578 0.1157 0.7839
Y7 0.4422 0.8843 0.2162
Y8 0.8200 0.2574 0.5965
Y9 0.4374 0.2574 0.5965
Y10 0.9723 0.3030 0.0638
Y11 0.3307 0.3030 0.0638
Y12 0.9190 0.8380 0.7130

For the formation energy, the calculation gives 0.128 eV/atom. The value obtained for the excess energy over the best structure of this formula in the dataset is 70 meV/atom.

***

This record from Alexandria describes an optimized crystal structure of Sm9Dy2Y. The functional is PBE.

Unit cell a=5.1035 b=5.1035 c=15.3089 alpha=90.00 beta=90.00 gamma=90.00
Atoms (fractional coordinates):
Sm1 0.5000 0.5000 0.0000
Sm2 0.5000 0.5000 0.3335
Sm3 0.5000 0.5000 0.6665
Sm4 0.5000 0.0000 0.1673
Sm5 0.5000 0.0000 0.5000
Sm6 0.5000 0.0000 0.8327
Sm7 0.0000 0.5000 0.1673
Sm8 0.0000 0.5000 0.5000
Sm9 0.0000 0.5000 0.8327
Dy1 0.0000 0.0000 0.3334
Dy2 0.0000 0.0000 0.6666
Y1 0.0000 0.0000 0.0000

For the formation energy, the calculation gives 0.018 eV/atom.

***

no.,ρ (g/cm³)
1,6.7
2,7.4
3,6.6
4,6.5
5,7.2
6,5.9
7,6.0
8,5.5
9,6.7
10,6.7
11,5.8
12,7.4